A plane-wave DFT calculation with PBE with a Hubbard U was carried out for a relaxed Li4Co2Cu3Sb3O16 crystal.

Unit cell a=10.401 b=6.137 c=9.756 alpha=90.00 beta=90.52 gamma=90.00
Space group Cm (No. 8)
Asymmetric unit:
Li  0.000  0.000  0.000
Li  0.009  0.000  0.483
Li  0.155  0.500  0.893
Li  0.311  0.000  0.378
Co  0.131  0.500  0.471
Co  0.313  0.000  0.994
Cu  0.066  0.258  0.209
Cu  0.152  0.000  0.717
Sb  0.314  0.500  0.209
Sb  0.398  0.247  0.707
O  0.059  0.240  0.601
O  0.145  0.500  0.103
O  0.166  0.000  0.077
O  0.225  0.280  0.331
O  0.247  0.228  0.828
O  0.324  0.000  0.592
O  0.324  0.500  0.590
O  0.404  0.265  0.095
O  0.468  0.000  0.830
O  0.472  0.500  0.816
O  0.492  0.500  0.297
O  0.497  0.000  0.359

Properties
The calculation puts the total energy at -5.58 eV/atom.